(1)
DFT (PBE-GGA) results for a relaxed structure of Ta2Ni.

E_tot	-9.823	eV per atom
total magnetic moment	0.00	μB per formula unit
space-group type	I4_1/amd

Unit cell a=13.0298 b=13.0298 c=13.0298 alpha=162.94 beta=162.94 gamma=24.22
Last column: nearest neighbours and their distance in Å.
Element x y z (fractional)
Ta (0.0386, 0.7886, 0.2500)  6 Ni 2.71-2.73, 6 Ta 2.76-2.95
Ta (0.1238, 0.3738, 0.7500)  8 Ta 2.73-2.95, 4 Ni 2.95-3.00
Ta (0.2114, 0.9614, 0.2500)  6 Ni 2.71-2.73, 6 Ta 2.76-2.95
Ta (0.3738, 0.1238, 0.2500)  8 Ta 2.73-2.95, 4 Ni 2.95-3.00
Ta (0.6262, 0.8762, 0.7500)  8 Ta 2.73-2.95, 4 Ni 2.95-3.00
Ta (0.7886, 0.0386, 0.7500)  6 Ni 2.71-2.73, 6 Ta 2.76-2.95
Ta (0.8762, 0.6262, 0.2500)  8 Ta 2.73-2.95, 4 Ni 2.95-3.00
Ta (0.9614, 0.2114, 0.7500)  6 Ni 2.71-2.73, 6 Ta 2.76-2.95
Ni (0.2862, 0.5362, 0.7500)  2 Ni 2.67, 8 Ta 2.71-2.95
Ni (0.4638, 0.7138, 0.7500)  2 Ni 2.67, 8 Ta 2.71-2.95
Ni (0.5362, 0.2862, 0.2500)  2 Ni 2.67, 8 Ta 2.71-2.95
Ni (0.7138, 0.4638, 0.2500)  2 Ni 2.67, 8 Ta 2.71-2.95

(2)
DFT (PBE-GGA) results for a relaxed structure of RbTlF4.

E_tot	-4.010	eV per atom
total magnetic moment	0.00	μB per formula unit
space-group type	P2_1/c

Unit cell a=6.5298 b=6.0462 c=5.9063 alpha=90.00 beta=93.35 gamma=90.00
Last column: nearest neighbours and their distance in Å.
Element x y z (fractional)
Rb (0.0000, 0.0000, 0.0000)  4 F 2.74-2.86
Rb (0.0000, 0.5000, 0.5000)  4 F 2.74-2.86
Tl (0.5000, 0.0000, 0.5000)  6 F 2.09-2.30
Tl (0.5000, 0.5000, 0.0000)  6 F 2.09-2.30
F (0.1985, 0.1095, 0.4303)  1 Tl 2.09
F (0.1985, 0.3905, 0.9303)  1 Tl 2.09
F (0.3927, 0.6902, 0.3021)  2 Tl 2.27-2.30
F (0.3927, 0.8098, 0.8021)  2 Tl 2.27-2.30
F (0.6073, 0.1902, 0.1979)  2 Tl 2.27-2.30
F (0.6073, 0.3098, 0.6979)  2 Tl 2.27-2.30
F (0.8015, 0.6095, 0.0697)  1 Tl 2.09
F (0.8015, 0.8905, 0.5697)  1 Tl 2.09

(3)
DFT (PBE-GGA) results for a relaxed structure of SrZrOs.

E_tot	-7.058	eV per atom
total magnetic moment	0.00	μB per formula unit
space-group type	I4mm

Unit cell a=7.1097 b=7.1097 c=7.1097 alpha=152.41 beta=152.41 gamma=39.42
Last column: nearest neighbours and their distance in Å.
Element x y z (fractional)
Sr (0.0000, 0.0000, 0.0000)  4 Os 3.25, 4 Sr 3.39, 1 Zr 3.47
Zr (0.7412, 0.7412, 0.0000)  4 Os 2.72
Os (0.3363, 0.3363, 0.0000)  4 Zr 2.72

(4)
DFT (PBE-GGA) results for a relaxed structure of Pm2SmY4Sc.

E_tot	-5.767	eV per atom
total magnetic moment	0.00	μB per formula unit
space-group type	P4/mmm

Unit cell a=5.0378 b=5.0378 c=10.0598 alpha=90.00 beta=90.00 gamma=90.00
Last column: nearest neighbours and their distance in Å.
Element x y z (fractional)
Pm (0.0000, 0.0000, 0.0000)  8 Y 3.52, 4 Sc 3.56
Pm (0.5000, 0.5000, 0.5000)  4 Sm 3.56, 8 Y 3.60
Sm (0.0000, 0.0000, 0.5000)  4 Pm 3.56, 8 Y 3.60
Y (0.0000, 0.5000, 0.2441)  4 Pm 3.52-3.60, 2 Sc 3.52, 4 Y 3.56, 2 Sm 3.60
Y (0.0000, 0.5000, 0.7559)  2 Sc 3.52, 4 Pm 3.52-3.60, 4 Y 3.56, 2 Sm 3.60
Y (0.5000, 0.0000, 0.2441)  4 Pm 3.52-3.60, 2 Sc 3.52, 4 Y 3.56, 2 Sm 3.60
Y (0.5000, 0.0000, 0.7559)  2 Sc 3.52, 4 Pm 3.52-3.60, 4 Y 3.56, 2 Sm 3.60
Sc (0.5000, 0.5000, 0.0000)  8 Y 3.52, 4 Pm 3.56

(5)
DFT (PBE-GGA) results for a relaxed structure of SbSCl2.

E_tot	-3.363	eV per atom
total magnetic moment	0.00	μB per formula unit
space-group type	P2_1/c

Unit cell a=6.5357 b=6.2055 c=13.0245 alpha=90.00 beta=120.07 gamma=90.00
Last column: nearest neighbours and their distance in Å.
Element x y z (fractional)
Sb (0.1317, 0.9996, 0.3818)  2 S 2.47, 2 Cl 2.55-2.56
Sb (0.1317, 0.5004, 0.8818)  2 S 2.47, 2 Cl 2.55-2.56
Sb (0.8683, 0.0004, 0.6182)  2 S 2.47, 2 Cl 2.55-2.56
Sb (0.8683, 0.4996, 0.1182)  2 S 2.47, 2 Cl 2.55-2.56
S (0.1870, 0.2497, 0.2500)  2 Sb 2.47
S (0.1870, 0.2503, 0.7500)  2 Sb 2.47
S (0.8130, 0.7497, 0.2500)  2 Sb 2.47
S (0.8130, 0.7503, 0.7500)  2 Sb 2.47
Cl (0.1516, 0.7330, 0.0844)  1 Sb 2.56
Cl (0.1516, 0.7670, 0.5844)  1 Sb 2.56
Cl (0.4826, 0.7331, 0.9156)  1 Sb 2.55
Cl (0.4826, 0.7669, 0.4156)  1 Sb 2.55
Cl (0.5174, 0.2331, 0.5844)  1 Sb 2.55
Cl (0.5174, 0.2669, 0.0844)  1 Sb 2.55
Cl (0.8484, 0.2330, 0.4156)  1 Sb 2.56
Cl (0.8484, 0.2670, 0.9156)  1 Sb 2.56

(6)
DFT (PBE-GGA) results for a relaxed structure of Pa2CoP4Ir3.

E_tot	-8.340	eV per atom
total magnetic moment	1.82	μB per formula unit
space-group type	P-4m2

Unit cell a=4.1519 b=4.1519 c=9.3342 alpha=90.00 beta=90.00 gamma=90.00
Last column: nearest neighbours and their distance in Å.
Element x y z (fractional)
Pa (0.0000, 0.5000, 0.2494)  2 Co 3.12, 7 Ir 3.12-3.43, 8 P 3.13-3.14
Pa (0.5000, 0.0000, 0.7506)  2 Co 3.12, 7 Ir 3.12-3.43, 8 P 3.13-3.14
Co (0.5000, 0.5000, 0.0000)  4 P 2.41
P (0.0000, 0.0000, 0.5000)  4 Ir 2.34
P (0.0000, 0.5000, 0.8696)  3 Ir 2.36-2.41, 2 Co 2.41
P (0.5000, 0.0000, 0.1304)  3 Ir 2.36-2.41, 2 Co 2.41
P (0.5000, 0.5000, 0.5000)  4 Ir 2.34
Ir (0.0000, 0.0000, 0.0000)  4 P 2.41
Ir (0.0000, 0.5000, 0.6165)  5 P 2.34-2.36
Ir (0.5000, 0.0000, 0.3835)  5 P 2.34-2.36